# SrNbAsO2

A geometry-optimized SrNbAsO2 structure (PBE, Alexandria via LeMat-Bulk).

Lattice parameters (Å, degrees): 4.209 4.209 6.043 90.00 90.00 90.00
Atoms (fractional coordinates):
Sr 0.000 0.000 0.000
Nb 0.500 0.500 0.500
As 0.000 0.000 0.500
O 0.000 0.500 0.000
O 0.500 0.000 0.000

## Properties
Space group: P4/mmm, No. 123
E: -24.9 eV/cell
Spin magnetization: 0.75 μB per formula unit
Formation energy without anion corrections: 285 meV per atom